Record 1
This record from the Alexandria database describes a geometry-optimized CaSiH2F structure. The functional is PBE.

Calculated values
Spin magnetization (μB per formula unit): 0.0
ρ (Mg/m³): 1.8
E (eV per atom): -3.21

The structure in POSCAR format:
```
CaSiH2F
1.0
4.510 0.000 0.000
0.000 4.510 0.000
0.000 0.000 4.043
Ca Si H F
1 1 2 1
direct
0.000 0.000 0.000
0.500 0.500 0.000
0.000 0.500 0.500
0.500 0.000 0.500
0.000 0.000 0.500
```



Record 2
This record from the Alexandria database describes a geometry-optimized Ca2SnHF structure. The functional is PBE.

Calculated values
Spin magnetization (μB per formula unit): 0.0
ρ (Mg/m³): 3.0
E (eV per atom): -3.17

The structure in POSCAR format:
```
Ca2SnHF
1.0
5.158 0.000 0.000
0.000 5.158 0.000
0.000 0.000 4.590
Ca Sn H F
2 1 1 1
direct
0.000 0.500 0.000
0.500 0.000 0.000
0.000 0.000 0.500
0.500 0.500 0.500
0.000 0.000 0.000
```



Record 3
This record from the Alexandria database describes a geometry-optimized CaTcH2F structure. The functional is PBE.

Calculated values
Spin magnetization (μB per formula unit): 1.3
ρ (Mg/m³): 3.5
E (eV per atom): -3.79

The structure in POSCAR format:
```
CaTcH2F
1.0
4.461 0.000 0.000
0.000 4.461 0.000
0.000 0.000 3.804
Ca Tc H F
1 1 2 1
direct
0.000 0.000 0.000
0.500 0.500 0.000
0.000 0.500 0.500
0.500 0.000 0.500
0.500 0.500 0.500
```



Record 4
This record from the Alexandria database describes a geometry-optimized Ca2TcHF structure. The functional is PBE.

Calculated values
Spin magnetization (μB per formula unit): 1.0
ρ (Mg/m³): 3.7
E (eV per atom): -4.51

The structure in POSCAR format:
```
Ca2TcHF
1.0
5.138 0.000 0.000
0.000 5.138 0.000
0.000 0.000 3.404
Ca Tc H F
2 1 1 1
direct
0.000 0.500 0.000
0.500 0.000 0.000
0.000 0.000 0.500
0.000 0.000 0.000
0.500 0.500 0.500
```



Record 5
This record from the Alexandria database describes a geometry-optimized CaTc2HF structure. The functional is PBE.

Calculated values
Spin magnetization (μB per formula unit): 0.0
ρ (Mg/m³): 5.1
E (eV per atom): -5.03

The structure in POSCAR format:
```
CaTc2HF
1.0
4.000 0.000 0.000
0.000 4.000 0.000
0.000 0.000 5.210
Ca Tc H F
1 2 1 1
direct
0.000 0.000 0.000
0.000 0.500 0.500
0.500 0.000 0.500
0.500 0.500 0.000
0.500 0.500 0.500
```



Record 6
This record from the Alexandria database describes a geometry-optimized CaTlH2F8 structure. The functional is PBE.

Calculated values
Spin magnetization (μB per formula unit): 1.0
ρ (Mg/m³): 4.5
E (eV per atom): -4.21

The structure in POSCAR format:
```
CaTlH2F8
1.0
4.115 0.000 0.000
0.000 8.143 0.000
-2.042 0.000 4.423
Ca Tl H F
1 1 2 8
direct
0.000 0.000 0.000
0.000 0.500 0.000
0.000 0.260 0.500
0.000 0.740 0.500
0.044 0.257 0.281
0.044 0.743 0.281
0.397 0.000 0.756
0.445 0.500 0.734
0.555 0.500 0.266
0.603 0.000 0.244
0.956 0.257 0.719
0.956 0.743 0.719
```



Record 7
This record from the Alexandria database describes a geometry-optimized CaHfF2 structure. The functional is PBE.

Calculated values
Spin magnetization (μB per formula unit): 1.7
ρ (Mg/m³): 6.0
Formation energy without anion corrections (eV per atom): -2.328

The structure in POSCAR format:
```
CaHfF2
1.0
3.640 0.000 0.000
-1.820 3.153 0.000
0.000 0.000 18.575
Ca Hf F
3 3 6
direct
0.000 0.000 0.000
0.333 0.667 0.667
0.667 0.333 0.333
0.000 0.000 0.500
0.333 0.667 0.167
0.667 0.333 0.833
0.000 0.000 0.381
0.000 0.000 0.619
0.333 0.667 0.048
0.333 0.667 0.285
0.667 0.333 0.715
0.667 0.333 0.952
```



Record 8
This record from the Alexandria database describes a geometry-optimized CaHfF2 structure. The functional is PBE.

Calculated values
Spin magnetization (μB per formula unit): 0.4
ρ (Mg/m³): 6.1
Formation energy without anion corrections (eV per atom): -1.722

The structure in POSCAR format:
```
CaHfF2
1.0
3.183 0.000 0.000
-1.591 2.756 0.000
0.000 0.000 23.765
Ca Hf F
3 3 6
direct
0.000 0.000 0.000
0.333 0.667 0.667
0.667 0.333 0.333
0.000 0.000 0.500
0.333 0.667 0.167
0.667 0.333 0.833
0.000 0.000 0.098
0.000 0.000 0.902
0.333 0.667 0.569
0.333 0.667 0.764
0.667 0.333 0.236
0.667 0.333 0.431
```



Record 9
This record from the Alexandria database describes a geometry-optimized CaHf3F structure. The functional is PBE.

Calculated values
Spin magnetization (μB per formula unit): 0.0
ρ (Mg/m³): 7.3
Formation energy without anion corrections (eV per atom): 1.720

The structure in POSCAR format:
```
CaHf3F
1.0
5.139 0.000 0.000
0.000 5.139 0.000
0.000 0.000 5.139
Ca Hf F
1 3 1
direct
0.000 0.000 0.000
0.000 0.000 0.500
0.000 0.500 0.000
0.500 0.000 0.000
0.500 0.500 0.500
```



Record 10
This record from the Alexandria database describes a geometry-optimized Ca3HfF structure. The functional is PBE.

Calculated values
Spin magnetization (μB per formula unit): 2.7
ρ (Mg/m³): 4.0
Formation energy without anion corrections (eV per atom): -0.672

The structure in POSCAR format:
```
Ca3HfF
1.0
5.090 0.000 0.000
0.000 5.090 0.000
0.000 0.000 5.090
Ca Hf F
3 1 1
direct
0.000 0.000 0.500
0.000 0.500 0.000
0.500 0.000 0.000
0.500 0.500 0.500
0.000 0.000 0.000
```



Record 11
This record from the Alexandria database describes a geometry-optimized CaHf3F structure. The functional is PBE.

Calculated values
Spin magnetization (μB per formula unit): 0.0
ρ (Mg/m³): 9.4
Formation energy without anion corrections (eV per atom): -0.241

The structure in POSCAR format:
```
CaHf3F
1.0
4.720 0.000 0.000
0.000 4.720 0.000
0.000 0.000 4.720
Ca Hf F
1 3 1
direct
0.000 0.000 0.000
0.000 0.500 0.500
0.500 0.000 0.500
0.500 0.500 0.000
0.500 0.500 0.500
```



Record 12
This record from the Alexandria database describes a geometry-optimized Ca3HfF structure. The functional is PBE.

Calculated values
Spin magnetization (μB per formula unit): 5.0
ρ (Mg/m³): 2.3
Formation energy without anion corrections (eV per atom): 0.561

The structure in POSCAR format:
```
Ca3HfF
1.0
6.135 0.000 0.000
0.000 6.135 0.000
0.000 0.000 6.135
Ca Hf F
3 1 1
direct
0.000 0.000 0.500
0.000 0.500 0.000
0.500 0.000 0.000
0.000 0.000 0.000
0.500 0.500 0.500
```



Look up the ρ of the first one.
1.8 Mg/m³